[1]
This record from Alexandria describes a relaxed LiZrMn2 crystal. The functional is PBE-GGA.

* raw total energy: -6.932 eV/atom
* symmetry: No. 139

Lattice parameters (Å, degrees): 4.856 4.856 4.856 131.49 131.49 71.04
Fractional positions:
Li 0.000 0.000 0.000
Zr 0.500 0.500 0.000
Mn 0.250 0.750 0.500
Mn 0.750 0.250 0.500

---

[2]
This record from Alexandria describes a relaxed ScSiTc crystal. The functional is PBE-GGA.

* energy above the most stable polymorph in this dataset: 13.3 kJ/mol of atoms
* symmetry: No. 129

Lattice parameters (Å, degrees): 3.849 3.849 6.884 90.00 90.00 90.00
Fractional positions:
Sc 0.250 0.250 0.153
Sc 0.750 0.750 0.847
Si 0.250 0.250 0.740
Si 0.750 0.750 0.260
Tc 0.250 0.750 0.500
Tc 0.750 0.250 0.500

---

[3]
This record from Alexandria describes a relaxed CeDy2Ho5Er crystal. The functional is PBE-GGA.

* raw total energy: -4.562 eV/atom
* symmetry: No. 36

Lattice parameters (Å, degrees): 11.071 11.071 9.490 90.00 90.00 150.39
Fractional positions:
Ce 0.191 0.809 0.500
Ce 0.809 0.191 0.000
Dy 0.114 0.886 0.803
Dy 0.133 0.867 0.188
Dy 0.867 0.133 0.688
Dy 0.886 0.114 0.303
Ho 0.014 0.986 0.492
Ho 0.267 0.733 0.812
Ho 0.306 0.694 0.194
Ho 0.395 0.605 0.526
Ho 0.471 0.529 0.228
Ho 0.529 0.471 0.728
Ho 0.605 0.395 0.026
Ho 0.694 0.306 0.694
Ho 0.733 0.267 0.312
Ho 0.986 0.014 0.992
Er 0.403 0.597 0.909
Er 0.597 0.403 0.409

---

[4]
This record from Alexandria describes a relaxed InIrW2 crystal. The functional is PBE-GGA.

* raw total energy: -8.612 eV/atom
* symmetry: No. 122

Lattice parameters (Å, degrees): 10.249 10.249 10.249 158.53 158.53 30.55
Fractional positions:
In 0.000 0.000 0.000
In 0.750 0.250 0.500
Ir 0.250 0.750 0.500
Ir 0.500 0.500 0.000
W 0.121 0.625 0.996
W 0.375 0.371 0.496
W 0.629 0.125 0.004
W 0.875 0.879 0.504

---

[5]
This record from Alexandria describes a relaxed BaTa3Cl crystal. The functional is PBE-GGA.

* energy above the most stable polymorph in this dataset: 0.0 kJ/mol of atoms
* symmetry: No. 221

Lattice parameters (Å, degrees): 4.806 4.806 4.806 90.00 90.00 90.00
Fractional positions:
Ba 0.000 0.000 0.000
Ta 0.000 0.500 0.500
Ta 0.500 0.000 0.500
Ta 0.500 0.500 0.000
Cl 0.500 0.500 0.500

---

[6]
This record from Alexandria describes a relaxed Na11Ca crystal. The functional is PBE-GGA.

* raw total energy: -1.341 eV/atom
* symmetry: No. 191

Lattice parameters (Å, degrees): 11.986 11.986 3.618 90.00 90.00 120.00
Fractional positions:
Na 0.000 0.500 0.000
Na 0.171 0.342 0.500
Na 0.171 0.829 0.500
Na 0.333 0.667 0.000
Na 0.342 0.171 0.500
Na 0.500 0.000 0.000
Na 0.500 0.500 0.000
Na 0.658 0.829 0.500
Na 0.667 0.333 0.000
Na 0.829 0.171 0.500
Na 0.829 0.658 0.500
Ca 0.000 0.000 0.000

---

[7]
This record from Alexandria describes a relaxed ErCoNiPb crystal. The functional is PBE-GGA.

* raw total energy: -5.411 eV/atom
* symmetry: No. 216

Lattice parameters (Å, degrees): 4.627 4.627 4.627 60.00 60.00 60.00
Fractional positions:
Er 0.000 0.000 0.000
Co 0.750 0.750 0.750
Ni 0.250 0.250 0.250
Pb 0.500 0.500 0.500

---

[8]
This record from Alexandria describes a relaxed La2Y2Ho7 crystal. The functional is PBE-GGA.

* energy above the most stable polymorph in this dataset: 27.2 kJ/mol of atoms
* symmetry: No. 65

Lattice parameters (Å, degrees): 6.896 6.896 9.459 90.00 90.00 123.63
Fractional positions:
La 0.248 0.248 0.000
La 0.752 0.752 0.000
Y 0.223 0.777 0.500
Y 0.777 0.223 0.500
Ho 0.000 0.000 0.316
Ho 0.000 0.000 0.684
Ho 0.000 0.500 0.184
Ho 0.000 0.500 0.816
Ho 0.500 0.000 0.184
Ho 0.500 0.000 0.816
Ho 0.500 0.500 0.500

---

[9]
This record from Alexandria describes a relaxed AgBr2 crystal. The functional is PBE-GGA.

* raw total energy: -2.089 eV/atom
* symmetry: No. 189

Lattice parameters (Å, degrees): 6.936 6.936 7.363 90.00 90.00 120.00
Fractional positions:
Ag 0.000 0.000 0.000
Ag 0.333 0.667 0.500
Ag 0.667 0.333 0.500
Br 0.000 0.277 0.500
Br 0.000 0.639 0.000
Br 0.277 0.000 0.500
Br 0.361 0.361 0.000
Br 0.639 0.000 0.000
Br 0.723 0.723 0.500

---

[10]
This record from Alexandria describes a relaxed ZnAgSnIr crystal. The functional is PBE-GGA.

* raw total energy: -4.225 eV/atom
* symmetry: No. 216

Lattice parameters (Å, degrees): 4.587 4.587 4.587 60.00 60.00 60.00
Fractional positions:
Zn 0.000 0.000 0.000
Ag 0.250 0.250 0.250
Sn 0.500 0.500 0.500
Ir 0.750 0.750 0.750

---

[11]
This record from Alexandria describes a relaxed TlIn3Si crystal. The functional is PBE-GGA.

* energy above the most stable polymorph in this dataset: 55.5 kJ/mol of atoms
* symmetry: No. 221

Lattice parameters (Å, degrees): 5.645 5.645 5.645 90.00 90.00 90.00
Fractional positions:
Tl 0.000 0.000 0.000
In 0.000 0.000 0.500
In 0.000 0.500 0.000
In 0.500 0.000 0.000
Si 0.500 0.500 0.500

---

[12]
This record from Alexandria describes a relaxed Y4ErTe5 crystal. The functional is PBE-GGA.

* energy above the most stable polymorph in this dataset: 0.5 kJ/mol of atoms
* symmetry: No. 87

Lattice parameters (Å, degrees): 7.554 7.554 7.554 99.53 99.53 131.97
Fractional positions:
Y 0.093 0.685 0.778
Y 0.315 0.093 0.408
Y 0.685 0.907 0.592
Y 0.907 0.315 0.222
Er 0.500 0.500 0.000
Te 0.000 0.000 0.000
Te 0.209 0.392 0.601
Te 0.392 0.791 0.183
Te 0.608 0.209 0.817
Te 0.791 0.608 0.399